A relaxed structure of InP2Br. Source: Alexandria via LeMat-Bulk, functional PBE-GGA.

Computed properties:
Fermi-level density of states in states/eV/atom: 0.47
Size of the total moment in Bohr magnetons per cell: 0.00
Raw formation energy in eV per atom: 0.010
Energy above the most stable polymorph in this dataset in eV/f.u.: 0.48

Unit cell a=13.751 b=3.359 c=5.092 alpha=90.00 beta=100.18 gamma=90.00
Space group C2/m (No. 12)
Inequivalent atoms, fractional coordinates:
1 In 0.000 0.000 0.000 [2 per cell]
2 P 0.214 0.500 0.077 [4 per cell]
3 Br 0.000 0.500 0.500 [2 per cell]



A relaxed structure of PaTl3Cl8. Source: Alexandria via LeMat-Bulk, functional PBE-GGA.

Computed properties:
Size of the total moment in Bohr magnetons per cell: 0.00
Raw formation energy in eV per atom: -1.398

Unit cell a=7.226 b=7.226 c=7.226 alpha=90.00 beta=90.00 gamma=90.00
Space group Pm-3m (No. 221)
Inequivalent atoms, fractional coordinates:
1 Pa 0.000 0.000 0.000 [1 per cell]
2 Tl 0.000 0.500 0.500 [3 per cell]
3 Cl 0.219 0.219 0.219 [8 per cell]